No. 1
Material: MgZrAgAu
Method: DFT, PBE
State: optimized geometry

## Properties
- Total DFT energy (no corrections): -4.4470 eV/atom
- SG: F-43m
- Volume: 76.37 Å³ per cell

a b c (Å): 4.7622 4.7622 4.7622
angles (deg): 60.00 60.00 60.00
Atoms (fractional coordinates):
Ag1 0.5000 0.5000 0.5000
Au1 0.0000 0.0000 0.0000
Mg1 0.7500 0.7500 0.7500
Zr1 0.2500 0.2500 0.2500

=====

No. 2
Material: SrZrNO
Method: DFT, PBE
State: optimized geometry

## Properties
- Total DFT energy (no corrections): -7.8439 eV/atom
- SG: Pbcm
- Volume: 270.47 Å³ per cell

a b c (Å): 6.8815 8.0985 4.8533
angles (deg): 90.00 90.00 90.00
Atoms (fractional coordinates):
N1 0.9076 0.4038 0.0508
N2 0.4076 0.5962 0.0508
N3 0.5924 0.4038 0.5508
N4 0.0924 0.5962 0.5508
O1 0.4316 0.1647 0.0502
O2 0.9316 0.8353 0.0502
O3 0.0684 0.1647 0.5502
O4 0.5684 0.8353 0.5502
Sr1 0.0733 0.1306 0.0506
Sr2 0.5733 0.8694 0.0506
Sr3 0.4267 0.1306 0.5507
Sr4 0.9267 0.8694 0.5507
Zr1 0.5929 0.3874 0.0507
Zr2 0.0929 0.6126 0.0507
Zr3 0.9071 0.3874 0.5507
Zr4 0.4071 0.6126 0.5507

=====

No. 3
Material: NaLaFeS3
Method: DFT, PBE
State: optimized geometry

## Properties
- Total DFT energy (no corrections): -5.7644 eV/atom
- SG: P2_1/m
- Volume: 300.46 Å³ per cell

a b c (Å): 8.0187 4.0225 9.4548
angles (deg): 90.00 99.86 90.00
Last column: magnetic moment on the atom in μB.
Atoms (fractional coordinates):
Fe1 0.5696 0.2500 0.0867  3.23
Fe2 0.4304 0.7500 0.9133  3.23
La1 0.8158 0.7500 0.3513  0.04
La2 0.1842 0.2500 0.6487  0.04
Na1 0.2784 0.7500 0.2398  0.00
Na2 0.7216 0.2500 0.7602  0.00
S1 0.7100 0.7500 0.0325  0.19
S2 0.5572 0.2500 0.3247  0.11
S3 0.0670 0.2500 0.3448  0.01
S4 0.9330 0.7500 0.6552  0.01
S5 0.4428 0.7500 0.6753  0.11
S6 0.2900 0.2500 0.9675  0.19

=====

No. 4
Material: HfFeCoB
Method: DFT, PBE
State: optimized geometry

## Properties
- Total DFT energy (no corrections): -7.8970 eV/atom
- SG: F-43m
- Volume: 49.18 Å³ per cell

a b c (Å): 4.1125 4.1125 4.1125
angles (deg): 60.00 60.00 60.00
Atoms (fractional coordinates):
B1 0.0000 0.0000 0.0000
Co1 0.5000 0.5000 0.5000
Fe1 0.7500 0.7500 0.7500
Hf1 0.2500 0.2500 0.2500